{"formula": "ReW3Cl", "functional": "PBE", "state": "optimized geometry", "raw_formation_energy_ev_per_atom": 1.6482, "cell": [[4.3595, 0.0000, 0.0000], [0.0000, 4.3595, 0.0000], [0.0000, 0.0000, 4.3595]], "species": ["Re", "W", "W", "W", "Cl"], "fractional_positions": [[0.5000, 0.5000, 0.5000], [0.0000, 0.5000, 0.0000], [0.0000, 0.0000, 0.5000], [0.5000, 0.0000, 0.0000], [0.0000, 0.0000, 0.0000]]}

{"formula": "La2Bi2Ir", "functional": "PBE", "state": "optimized geometry", "delta_e_f_ev_per_atom": -0.183, "cell": [[-3.1611, -2.1742, 1.7320], [2.3443, -0.6758, 3.4303], [-3.4972, 5.8967, 6.1345]], "species": ["Ir", "Bi", "Bi", "La", "La"], "fractional_positions": [[0.0000, 0.0000, 0.0000], [0.7500, 0.2500, 0.5000], [0.2500, 0.7500, 0.5000], [0.4102, 0.4102, 0.1797], [0.5898, 0.5898, 0.8203]]}

Mass density for every record listed, in sequence, given in kg/m³: 15496 9560.
Excess energy over the best structure of this formula in the dataset for every record listed, in sequence, given in meV/atom: 0 279.
Volume for every record listed, in sequence, given in Å³/cell: 83 154.